(1)
## Ca6TiO8 (PBE)

Data for an optimized crystal structure of Ca6TiO8.

The total magnetization comes out at 0.0 μB/f.u.

Unit cell a=6.715 b=6.715 c=6.715 alpha=60.00 beta=60.00 gamma=60.00
Element x y z (fractional)
1 Ca 0.000 0.000 0.500
2 Ca 0.000 0.500 0.000
3 Ca 0.000 0.500 0.500
4 Ca 0.500 0.000 0.000
5 Ca 0.500 0.000 0.500
6 Ca 0.500 0.500 0.000
7 Ti 0.000 0.000 0.000
8 O 0.214 0.214 0.786
9 O 0.214 0.786 0.214
10 O 0.214 0.786 0.786
11 O 0.250 0.250 0.250
12 O 0.750 0.750 0.750
13 O 0.786 0.214 0.214
14 O 0.786 0.214 0.786
15 O 0.786 0.786 0.214

***

(2)
## CaTi4O6 (PBE)

Data for an optimized crystal structure of CaTi4O6.

The total magnetization comes out at 0.0 μB/f.u.

Unit cell a=5.224 b=5.224 c=15.180 alpha=90.00 beta=90.00 gamma=146.32
Element x y z (fractional)
1 Ca 0.154 0.846 0.750
2 Ca 0.846 0.154 0.250
3 Ti 0.101 0.899 0.127
4 Ti 0.101 0.899 0.373
5 Ti 0.352 0.648 0.039
6 Ti 0.352 0.648 0.461
7 Ti 0.648 0.352 0.539
8 Ti 0.648 0.352 0.961
9 Ti 0.899 0.101 0.627
10 Ti 0.899 0.101 0.873
11 O 0.000 0.000 0.000
12 O 0.000 0.000 0.500
13 O 0.166 0.834 0.250
14 O 0.263 0.737 0.595
15 O 0.263 0.737 0.905
16 O 0.463 0.537 0.154
17 O 0.463 0.537 0.346
18 O 0.537 0.463 0.654
19 O 0.537 0.463 0.846
20 O 0.737 0.263 0.095
21 O 0.737 0.263 0.405
22 O 0.834 0.166 0.750

***

(3)
## CaTiTlO4 (PBE)

Data for an optimized crystal structure of CaTiTlO4.

The total magnetization comes out at 0.0 μB/f.u.

Unit cell a=5.767 b=5.767 c=7.285 alpha=90.00 beta=90.00 gamma=116.06
Element x y z (fractional)
1 Ca 0.000 0.000 0.000
2 Ca 0.000 0.000 0.500
3 Ti 0.351 0.649 0.750
4 Ti 0.649 0.351 0.250
5 Tl 0.324 0.676 0.250
6 Tl 0.676 0.324 0.750
7 O 0.226 0.291 0.750
8 O 0.237 0.763 0.553
9 O 0.237 0.763 0.947
10 O 0.291 0.226 0.250
11 O 0.709 0.774 0.750
12 O 0.763 0.237 0.053
13 O 0.763 0.237 0.447
14 O 0.774 0.709 0.250

***

(4)
## CaUTi2O7 (PBE)

Data for an optimized crystal structure of CaUTi2O7.

The total magnetization comes out at 2.0 μB/f.u.

Unit cell a=7.231 b=7.231 c=7.231 alpha=120.90 beta=119.18 gamma=89.93
Element x y z (fractional)
1 Ca 0.500 0.000 0.000
2 Ca 0.500 0.500 0.500
3 U 0.000 0.000 0.000
4 U 0.500 0.000 0.500
5 Ti 0.000 0.000 0.500
6 Ti 0.000 0.500 0.000
7 Ti 0.000 0.500 0.500
8 Ti 0.500 0.500 0.000
9 O 0.072 0.411 0.238
10 O 0.072 0.833 0.661
11 O 0.081 0.831 0.250
12 O 0.322 0.572 0.750
13 O 0.328 0.167 0.738
14 O 0.328 0.589 0.161
15 O 0.364 0.114 0.250
16 O 0.636 0.886 0.750
17 O 0.672 0.411 0.839
18 O 0.672 0.833 0.262
19 O 0.678 0.428 0.250
20 O 0.919 0.169 0.750
21 O 0.928 0.167 0.339
22 O 0.928 0.589 0.762

***

(5)
## Ca2UTiO6 (PBE)

Data for an optimized crystal structure of Ca2UTiO6.

The total magnetization comes out at 2.0 μB/f.u.

Unit cell a=5.505 b=5.505 c=4.997 alpha=90.00 beta=90.00 gamma=90.00
Element x y z (fractional)
1 Ca 0.000 0.500 0.000
2 Ca 0.500 0.000 0.000
3 U 0.000 0.000 0.577
4 Ti 0.500 0.500 0.598
5 O 0.000 0.000 0.158
6 O 0.261 0.261 0.727
7 O 0.261 0.739 0.727
8 O 0.500 0.500 0.243
9 O 0.739 0.261 0.727
10 O 0.739 0.739 0.727

***

no.,E_form (uncorrected) (eV/f.u.),theoretical density (g cm⁻³)
1,-45.3,3.23
2,-30.2,4.74
3,-16.3,5.44
4,-34.2,6.04
5,-29.9,5.07